Ag2SbRh | PBE | relaxed

Output
- Total magnetization: 0.00 μB/cell
- Formation energy from raw total energies: 0.004 eV/atom
- Raw total energy: -4.2906 eV/atom
- Crystal system: tetragonal
- Space-group type: I4/mmm, No. 139

abc: 5.443 5.443 5.443
angles: 137.77 137.77 61.26
Atoms (fractional coordinates):
1 Ag 0.750 0.250 0.500
2 Ag 0.250 0.750 0.500
3 Sb 0.000 0.000 0.000
4 Rh 0.500 0.500 0.000



AgSb2Rh2 | PBE | relaxed

Output
- Total magnetization: 0.00 μB/cell
- Formation energy from raw total energies: 0.076 eV/atom
- Polymorph energy (0 for the lowest one): 1.35 eV per formula unit
- Raw total energy: -5.0839 eV/atom
- Crystal system: tetragonal
- Space-group type: I4/mmm, No. 139

abc: 4.351 4.351 6.402
angles: 70.13 70.13 90.00
Atoms (fractional coordinates):
1 Sb 0.750 0.250 0.500
2 Sb 0.250 0.750 0.500
3 Rh 0.383 0.383 0.235
4 Rh 0.617 0.617 0.765
5 Ag 0.000 0.000 0.000



Ag2SbRh | PBE | relaxed

Output
- Total magnetization: 0.61 μB/cell
- Formation energy from raw total energies: 0.309 eV/atom
- Raw total energy: -3.9847 eV/atom
- Crystal system: tetragonal
- Space-group type: P4/mmm, No. 123

abc: 3.016 3.016 8.469
angles: 90.00 90.00 90.00
Atoms (fractional coordinates):
1 Ag 0.000 0.000 0.780
2 Ag 0.000 0.000 0.220
3 Sb 0.500 0.500 0.500
4 Rh 0.500 0.500 0.000



AgSbRh3 | PBE | relaxed

Output
- Total magnetization: 0.71 μB/cell
- Formation energy from raw total energies: 0.896 eV/atom
- Polymorph energy (0 for the lowest one): 0.00 eV per formula unit
- Raw total energy: -4.9094 eV/atom
- Crystal system: cubic
- Space-group type: Pm-3m, No. 221

abc: 4.826 4.826 4.826
angles: 90.00 90.00 90.00
Atoms (fractional coordinates):
1 Sb 0.000 0.000 0.000
2 Rh 0.000 0.500 0.000
3 Rh 0.000 0.000 0.500
4 Rh 0.500 0.000 0.000
5 Ag 0.500 0.500 0.500